# 1
# BaTiSnOs

A relaxed BaTiSnOs crystal (GGA-PBE, the Alexandria database).

Output
Calculated density   7.65 Mg/m³
Energy of formation from the pure elements   10.7 kJ per mole of atoms
M_tot   0.012 μB per atom
VASP energy   -6.15 eV per atom

a = 5.7989 Å, b = 5.7989 Å, c = 5.2632 Å
α = 105.37°, β = 105.37°, γ = 39.17°
Element x y z (fractional)
Ba: 0.0000 0.0000 0.0000
Ti: 0.6678 0.6678 0.5952
Sn: 0.3456 0.3456 0.4077
Os: 0.2607 0.2607 0.8524

***

# 2
# BaTiSnOs

A relaxed BaTiSnOs crystal (GGA-PBE, the Alexandria database).

Output
Calculated density   8.03 Mg/m³
Energy of formation from the pure elements   1.1 kJ per mole of atoms
M_tot   0.000 μB per atom
VASP energy   -6.25 eV per atom

a = 8.0801 Å, b = 8.0801 Å, c = 8.0801 Å
α = 156.56°, β = 150.80°, γ = 37.77°
Element x y z (fractional)
Ba: 0.0000 0.0000 0.0000
Ti: 0.2969 0.7969 0.5000
Sn: 0.6585 0.6585 0.0000
Os: 0.8042 0.3042 0.5000

***

# 3
# BaTiSnOs

A relaxed BaTiSnOs crystal (GGA-PBE, the Alexandria database).

Output
Calculated density   7.29 Mg/m³
Energy of formation from the pure elements   -1.8 kJ per mole of atoms
M_tot   0.266 μB per atom
VASP energy   -6.28 eV per atom

a = 4.6575 Å, b = 4.6575 Å, c = 6.5600 Å
α = 110.75°, β = 110.75°, γ = 60.05°
Element x y z (fractional)
Ba: 0.0000 0.0000 0.0000
Ti: 0.8147 0.8147 0.4462
Sn: 0.5223 0.5223 0.5698
Os: 0.1803 0.1803 0.5440

***

# 4
# Ba2YSnOs

A relaxed Ba2YSnOs crystal (GGA-PBE, the Alexandria database).

Output
Calculated density   5.97 Mg/m³
Energy of formation from the pure elements   43.4 kJ per mole of atoms
M_tot   0.000 μB per atom
VASP energy   -4.66 eV per atom

a = 5.9760 Å, b = 5.9760 Å, c = 5.2390 Å
α = 90.00°, β = 90.00°, γ = 90.00°
Element x y z (fractional)
Ba: 0.0000 0.5000 0.0000
Ba: 0.5000 0.0000 0.0000
Y: 0.0000 0.0000 0.5000
Sn: 0.5000 0.5000 0.5000
Os: 0.5000 0.5000 0.0000